## P
DFT (GGA-PBE) results for a geometry-optimized LiYSiO4 structure.

Cell: 5.816 6.034 6.034 Å, 69.29 61.19 61.19°
Positions (direct):
O1 0.724 0.728 0.824
O2 0.252 0.761 0.261
O3 0.276 0.676 0.772
O4 0.274 0.239 0.739
O5 0.748 0.239 0.739
O6 0.724 0.324 0.228
O7 0.726 0.761 0.261
O8 0.276 0.272 0.176
Y1 0.000 0.000 0.000
Y2 0.000 0.500 0.500
Si1 0.387 0.363 0.863
Si2 0.613 0.637 0.137
Li1 0.500 0.000 0.500
Li2 0.000 0.000 0.500

Computed properties:
- V: 11.5 Å³/atom
- Density: 3.89 g cm⁻³
- Total moment: 0.000 μB/cell

---

## Q
DFT (GGA-PBE) results for a geometry-optimized LiYSiO4 structure.

Cell: 6.257 5.455 10.956 Å, 66.47 90.00 90.00°
Positions (direct):
O1 0.858 0.230 0.777
O2 0.164 0.186 0.524
O3 0.142 0.770 0.223
O4 0.336 0.186 0.024
O5 0.836 0.814 0.476
O6 0.071 0.774 0.944
O7 0.337 0.241 0.747
O8 0.571 0.226 0.556
O9 0.429 0.774 0.444
O10 0.358 0.770 0.723
O11 0.929 0.226 0.056
O12 0.642 0.230 0.277
O13 0.663 0.759 0.253
O14 0.163 0.241 0.247
O15 0.664 0.814 0.976
O16 0.837 0.759 0.753
Li1 0.866 0.081 0.570
Li2 0.634 0.081 0.070
Li3 0.366 0.919 0.930
Li4 0.134 0.919 0.430
Si1 0.652 0.904 0.359
Si2 0.348 0.096 0.641
Si3 0.152 0.096 0.141
Si4 0.848 0.904 0.859
Y1 0.884 0.554 0.152
Y2 0.616 0.554 0.652
Y3 0.116 0.446 0.848
Y4 0.384 0.446 0.348

Computed properties:
- V: 12.2 Å³/atom
- Density: 3.64 g cm⁻³
- Total moment: 0.000 μB/cell

---

Q (186 meV/atom below the next structure)

---

## P
DFT (GGA-PBE) results for a geometry-optimized Li2ZnSiO4 structure.

Cell: 4.363 4.363 5.379 Å, 113.92 113.92 90.00°
Positions (direct):
O1 0.395 0.828 0.223
O2 0.828 0.395 0.223
O3 0.605 0.605 0.777
O4 0.172 0.172 0.777
Li1 0.750 0.250 0.500
Li2 0.250 0.750 0.500
Si1 0.500 0.500 0.000
Zn1 0.000 0.000 0.000

Computed properties:
- V: 10.5 Å³/atom
- Density: 3.39 g cm⁻³
- Total moment: 0.000 μB/cell

---

## Q
DFT (GGA-PBE) results for a geometry-optimized Li2ZnSiO4 structure.

Cell: 10.752 5.113 8.104 Å, 51.43 90.00 90.00°
Positions (direct):
Li1 0.425 0.462 0.740
Li2 0.575 0.538 0.260
Li3 0.163 0.315 0.993
Li4 0.075 0.462 0.240
Li5 0.663 0.685 0.507
Li6 0.837 0.685 0.007
Li7 0.925 0.538 0.760
Li8 0.337 0.315 0.493
O1 0.910 0.611 0.255
O2 0.839 0.255 0.040
O3 0.339 0.745 0.460
O4 0.340 0.172 0.031
O5 0.410 0.389 0.245
O6 0.661 0.255 0.540
O7 0.160 0.172 0.531
O8 0.161 0.745 0.960
O9 0.944 0.946 0.756
O10 0.840 0.828 0.469
O11 0.660 0.828 0.969
O12 0.444 0.054 0.744
O13 0.056 0.054 0.244
O14 0.556 0.946 0.256
O15 0.590 0.611 0.755
O16 0.090 0.389 0.745
Zn1 0.836 0.191 0.501
Zn2 0.664 0.191 0.001
Zn3 0.164 0.809 0.499
Zn4 0.336 0.809 0.999
Si1 0.088 0.064 0.746
Si2 0.588 0.936 0.754
Si3 0.412 0.064 0.246
Si4 0.912 0.936 0.254

Computed properties:
- V: 10.9 Å³/atom
- Density: 3.27 g cm⁻³
- Total moment: 0.000 μB/cell

---

Q (18 meV/atom below the next structure)